Record 1
4
Lattice="5.3540 0.0000 0.0000 2.6770 4.6367 0.0000 2.6770 1.5456 4.3715" Properties=species:S:1:pos:R:3 comment="CaTbSnHg, relaxed, DFT PBE" total_magnetization_mub_per_cell=0.0 dft_energy_ev_per_cell=-13.3 relative_energy_kcal_per_mol_atoms=0.000 pbc="T T T"
Ca 0.0000 0.0000 0.0000
Tb 5.3540 3.0912 2.1858
Hg 8.0310 4.6367 3.2787
Sn 2.6770 1.5456 1.0929

=====

Record 2
4
Lattice="-3.5813 -2.9527 -2.8075 1.6912 -3.1701 -4.0640 -0.0913 -5.3958 0.5506" Properties=species:S:1:pos:R:3 comment="CaThSnHg, relaxed, DFT PBE" total_magnetization_mub_per_cell=0.0 dft_energy_ev_per_cell=-15.4 pbc="T T T"
Ca 0.0000 0.0000 0.0000
Hg -1.4861 -8.6389 -4.7407
Th -0.9907 -5.7593 -3.1605
Sn -0.4954 -2.8796 -1.5802